Record 1
The following is a DFT calculation (GGA-PBE) of crystalline LaFe2B at its relaxed geometry.

## Properties
space-group type: I4_1/amd
formation energy: 165 meV per atom
N(E_F): 4.36 states/eV/f.u.
crystal system: tetragonal
energy: -111.47 eV/cell

POSCAR file:
```
LaFe2B
1.0
4.349 0.000 0.000
0.000 4.349 0.000
0.000 0.000 13.962
La Fe B
4 8 4
Direct
0.000 0.250 0.375 La
0.000 0.750 0.625 La
0.500 0.250 0.125 La
0.500 0.750 0.875 La
0.000 0.000 0.000 Fe
0.000 0.500 0.000 Fe
0.250 0.250 0.750 Fe
0.250 0.750 0.250 Fe
0.500 0.000 0.500 Fe
0.500 0.500 0.500 Fe
0.750 0.250 0.750 Fe
0.750 0.750 0.250 Fe
0.000 0.250 0.875 B
0.000 0.750 0.125 B
0.500 0.250 0.625 B
0.500 0.750 0.375 B
```



Record 2
The following is a DFT calculation (GGA-PBE) of crystalline KSe2IBr at its relaxed geometry.

## Properties
space-group type: P4/mmm
E above lowest polymorph: 0.0 meV per atom
N(E_F): 3.51 states/eV/f.u.
crystal system: tetragonal
energy: -12.08 eV/cell
ΔE_f (raw): -159 meV per atom

POSCAR file:
```
KSe2IBr
1.0
5.469 0.000 0.000
0.000 5.469 0.000
0.000 0.000 6.004
K Se I Br
1 2 1 1
Direct
0.000 0.000 0.000 K
0.000 0.500 0.500 Se
0.500 0.000 0.500 Se
0.500 0.500 0.500 I
0.500 0.500 0.000 Br
```



Record 3
The following is a DFT calculation (GGA-PBE) of crystalline FeCo3 at its relaxed geometry.

## Properties
space-group type: P2_1/m
formation energy: 35 meV per atom
N(E_F): 4.75 states/eV/f.u.
crystal system: monoclinic
energy: -59.28 eV/cell

POSCAR file:
```
FeCo3
1.0
4.691 0.000 0.000
0.000 3.984 0.000
-0.899 0.000 4.818
Fe Co
2 6
Direct
0.128 0.250 0.438 Fe
0.872 0.750 0.562 Fe
0.127 0.250 0.941 Co
0.371 0.750 0.820 Co
0.376 0.750 0.317 Co
0.624 0.250 0.683 Co
0.629 0.250 0.180 Co
0.873 0.750 0.059 Co
```



Record 4
The following is a DFT calculation (GGA-PBE) of crystalline Sr2MgBr at its relaxed geometry.

## Properties
space-group type: F-43m
E above lowest polymorph: 577.5 meV per atom
N(E_F): 4.48 states/eV/f.u.
crystal system: cubic
energy: -28.84 eV/cell
ΔE_f (raw): -145 meV per atom

POSCAR file:
```
Sr2MgBr
1.0
8.694 0.000 0.000
0.000 8.694 0.000
0.000 0.000 8.694
Sr Mg Br
8 4 4
Direct
0.000 0.000 0.000 Sr
0.000 0.500 0.500 Sr
0.250 0.250 0.250 Sr
0.250 0.750 0.750 Sr
0.500 0.000 0.500 Sr
0.500 0.500 0.000 Sr
0.750 0.250 0.750 Sr
0.750 0.750 0.250 Sr
0.000 0.000 0.500 Mg
0.000 0.500 0.000 Mg
0.500 0.000 0.000 Mg
0.500 0.500 0.500 Mg
0.250 0.250 0.750 Br
0.250 0.750 0.250 Br
0.750 0.250 0.250 Br
0.750 0.750 0.750 Br
```



Record 5
The following is a DFT calculation (GGA-PBE) of crystalline Al2FeTc at its relaxed geometry.

## Properties
space-group type: P2/m
E above lowest polymorph: 110.0 meV per atom
formation energy: -195 meV per atom
N(E_F): 2.89 states/eV/f.u.
crystal system: monoclinic
energy: -27.09 eV/cell

POSCAR file:
```
Al2FeTc
1.0
2.658 0.000 0.000
0.000 3.960 0.000
-1.310 0.000 5.213
Al Fe Tc
2 1 1
Direct
0.045 0.000 0.254 Al
0.955 0.000 0.746 Al
0.500 0.500 0.500 Fe
0.500 0.500 0.000 Tc
```



Record 6
The following is a DFT calculation (GGA-PBE) of crystalline LaAgHg at its relaxed geometry.

## Properties
space-group type: F-43m
formation energy: -243 meV per atom
N(E_F): 4.15 states/eV/f.u.
crystal system: cubic
energy: -35.24 eV/cell

POSCAR file:
```
LaAgHg
1.0
7.033 0.000 0.000
0.000 7.033 0.000
0.000 0.000 7.033
La Ag Hg
4 4 4
Direct
0.000 0.000 0.000 La
0.000 0.500 0.500 La
0.500 0.000 0.500 La
0.500 0.500 0.000 La
0.250 0.250 0.250 Ag
0.250 0.750 0.750 Ag
0.750 0.250 0.750 Ag
0.750 0.750 0.250 Ag
0.000 0.000 0.500 Hg
0.000 0.500 0.000 Hg
0.500 0.000 0.000 Hg
0.500 0.500 0.500 Hg
```



Record 7
The following is a DFT calculation (GGA-PBE) of crystalline La2Cd5Ga3 at its relaxed geometry.

## Properties
space-group type: Ibam
formation energy: -369 meV per atom
N(E_F): 3.81 states/eV/f.u.
crystal system: orthorhombic
energy: -54.40 eV/cell

POSCAR file:
```
La2Cd5Ga3
1.0
-5.736 6.481 3.208
5.736 -6.481 3.208
5.736 6.481 -3.208
La Cd Ga
4 10 6
Direct
0.124 0.241 0.365 La
0.376 0.741 0.117 La
0.624 0.259 0.883 La
0.876 0.759 0.635 La
0.015 0.750 0.265 Cd
0.124 0.871 0.995 Cd
0.250 0.750 0.500 Cd
0.376 0.371 0.748 Cd
0.485 0.750 0.735 Cd
0.515 0.250 0.265 Cd
0.624 0.629 0.252 Cd
0.750 0.250 0.500 Cd
0.876 0.129 0.005 Cd
0.985 0.250 0.735 Cd
0.122 0.646 0.768 Ga
0.250 0.250 0.000 Ga
0.378 0.146 0.524 Ga
0.622 0.854 0.476 Ga
0.750 0.750 0.000 Ga
0.878 0.354 0.232 Ga
```



Record 8
The following is a DFT calculation (GGA-PBE) of crystalline Nd2YGe at its relaxed geometry.

## Properties
space-group type: R-3m
E above lowest polymorph: 320.4 meV per atom
formation energy: -11 meV per atom
N(E_F): 6.01 states/eV/f.u.
crystal system: trigonal
energy: -61.98 eV/cell

POSCAR file:
```
Nd2YGe
1.0
3.713 0.000 0.000
-1.857 3.216 0.000
0.000 0.000 33.141
Nd Y Ge
6 3 3
Direct
0.000 0.000 0.105 Nd
0.000 0.000 0.895 Nd
0.333 0.667 0.562 Nd
0.333 0.667 0.772 Nd
0.667 0.333 0.228 Nd
0.667 0.333 0.438 Nd
0.000 0.000 0.000 Y
0.333 0.667 0.667 Y
0.667 0.333 0.333 Y
0.000 0.000 0.500 Ge
0.333 0.667 0.167 Ge
0.667 0.333 0.833 Ge
```



Record 9
The following is a DFT calculation (GGA-PBE) of crystalline HfGaBr2 at its relaxed geometry.

## Properties
space-group type: Fm-3m
E above lowest polymorph: 571.0 meV per atom
N(E_F): 2.71 states/eV/f.u.
crystal system: cubic
energy: -65.05 eV/cell
ΔE_f (raw): 16 meV per atom

POSCAR file:
```
HfGaBr2
1.0
6.975 0.000 0.000
0.000 6.975 0.000
0.000 0.000 6.975
Hf Ga Br
4 4 8
Direct
0.000 0.000 0.000 Hf
0.000 0.500 0.500 Hf
0.500 0.000 0.500 Hf
0.500 0.500 0.000 Hf
0.000 0.000 0.500 Ga
0.000 0.500 0.000 Ga
0.500 0.000 0.000 Ga
0.500 0.500 0.500 Ga
0.250 0.250 0.250 Br
0.250 0.250 0.750 Br
0.250 0.750 0.250 Br
0.250 0.750 0.750 Br
0.750 0.250 0.250 Br
0.750 0.250 0.750 Br
0.750 0.750 0.250 Br
0.750 0.750 0.750 Br
```



Record 10
The following is a DFT calculation (GGA-PBE) of crystalline ZrTcSb6 at its relaxed geometry.

## Properties
space-group type: C2/m
N(E_F): 3.90 states/eV/f.u.
crystal system: monoclinic
energy: -86.26 eV/cell
ΔE_f (raw): 65 meV per atom

POSCAR file:
```
ZrTcSb6
1.0
7.504 0.000 0.000
0.000 10.978 0.000
-2.966 0.000 4.987
Zr Tc Sb
2 2 12
Direct
0.000 0.000 0.000 Zr
0.500 0.500 0.000 Zr
0.000 0.500 0.500 Tc
0.500 0.000 0.500 Tc
0.234 0.293 0.737 Sb
0.234 0.707 0.737 Sb
0.247 0.500 0.287 Sb
0.253 0.000 0.713 Sb
0.266 0.207 0.263 Sb
0.266 0.793 0.263 Sb
0.734 0.207 0.737 Sb
0.734 0.793 0.737 Sb
0.747 0.000 0.287 Sb
0.753 0.500 0.713 Sb
0.766 0.293 0.263 Sb
0.766 0.707 0.263 Sb
```



Record 11
The following is a DFT calculation (GGA-PBE) of crystalline MnV3Mo at its relaxed geometry.

## Properties
space-group type: Pm-3m
E above lowest polymorph: 962.6 meV per atom
formation energy: 853 meV per atom
N(E_F): 9.00 states/eV/f.u.
crystal system: cubic
energy: -43.09 eV/cell

POSCAR file:
```
MnV3Mo
1.0
4.252 0.000 0.000
0.000 4.252 0.000
0.000 0.000 4.252
Mn V Mo
1 3 1
Direct
0.000 0.000 0.000 Mn
0.000 0.000 0.500 V
0.000 0.500 0.000 V
0.500 0.000 0.000 V
0.500 0.500 0.500 Mo
```



Record 12
The following is a DFT calculation (GGA-PBE) of crystalline Ta2TlRh at its relaxed geometry.

## Properties
space-group type: I-42d
E above lowest polymorph: 545.8 meV per atom
formation energy: 616 meV per atom
N(E_F): 3.55 states/eV/f.u.
crystal system: tetragonal
energy: -123.84 eV/cell

POSCAR file:
```
Ta2TlRh
1.0
3.925 0.000 0.000
0.000 3.925 0.000
0.000 0.000 20.196
Ta Tl Rh
8 4 4
Direct
0.248 0.250 0.125 Ta
0.250 0.748 0.375 Ta
0.250 0.752 0.875 Ta
0.252 0.250 0.625 Ta
0.748 0.750 0.625 Ta
0.750 0.248 0.875 Ta
0.750 0.252 0.375 Ta
0.752 0.750 0.125 Ta
0.000 0.000 0.000 Tl
0.000 0.500 0.250 Tl
0.500 0.000 0.750 Tl
0.500 0.500 0.500 Tl
0.000 0.000 0.500 Rh
0.000 0.500 0.750 Rh
0.500 0.000 0.250 Rh
0.500 0.500 0.000 Rh
```